# Pm2VZnO6 (PBE with a Hubbard U, optimized geometry)
# - E_tot: -7.432 eV/atom
# - Space group: No. 14
data_Pm2VZnO6
_space_group_name_H-M_alt 'P 1'
_space_group_IT_number 1
_cell_length_a 5.4564
_cell_length_b 5.7674
_cell_length_c 7.7283
_cell_angle_alpha 90.00
_cell_angle_beta 89.39
_cell_angle_gamma 90.00
loop_
_space_group_symop_operation_xyz
'x,y,z'
loop_
_atom_site_label
_atom_site_type_symbol
_atom_site_fract_x
_atom_site_fract_y
_atom_site_fract_z
_atom_site_occupancy
V1 V 0.0000 0.5000 0.0000 1
O1 O 0.1020 0.4685 0.7647 1
Pm1 Pm 0.9790 0.0655 0.7485 1
Pm2 Pm 0.0210 0.9345 0.2515 1
O2 O 0.2052 0.1916 0.4492 1
O3 O 0.1895 0.2089 0.0573 1
Pm3 Pm 0.5210 0.5655 0.7515 1
O4 O 0.3105 0.7089 0.4427 1
O5 O 0.6895 0.2911 0.5573 1
O6 O 0.7052 0.3084 0.9492 1
O7 O 0.8980 0.5315 0.2353 1
Zn1 Zn 0.0000 0.5000 0.5000 1
O8 O 0.2948 0.6916 0.0508 1
O9 O 0.3980 0.9685 0.7353 1
V2 V 0.5000 0.0000 0.5000 1
Zn2 Zn 0.5000 0.0000 0.0000 1
Pm4 Pm 0.4790 0.4345 0.2485 1
O10 O 0.8105 0.7911 0.9427 1
O11 O 0.7948 0.8084 0.5508 1
O12 O 0.6020 0.0315 0.2647 1